1.
Compound: Ni2AgTe
Source: Alexandria via LeMat-Bulk
Functional: PBE
Structure: optimized geometry

CIF file:
```
data_Ni2AgTe
_chemical_formula_sum 'Ni8 Ag4 Te4'
_cell_length_a 7.0411
_cell_length_b 7.0411
_cell_length_c 5.5162
_cell_angle_alpha 90.00
_cell_angle_beta 90.00
_cell_angle_gamma 90.00
_space_group_name_H-M_alt 'I -4 2 d'
_space_group_IT_number 122
_space_group_name_Hall 'I -4 2bw'
loop_
_atom_site_label
_atom_site_type_symbol
_atom_site_fract_x
_atom_site_fract_y
_atom_site_fract_z
Ni1 Ni 0.2318 0.7500 0.1250
Ag1 Ag 0.0000 0.0000 0.5000
Te1 Te 0.0000 0.0000 0.0000
```

Formation energy (no corrections): 326 meV per atom
Raw total energy: -4.06 eV per atom

2.
Compound: HgOs2
Source: Alexandria via LeMat-Bulk
Functional: PBE
Structure: optimized geometry

CIF file:
```
data_HgOs2
_chemical_formula_sum 'Hg4 Os8'
_cell_length_a 6.2897
_cell_length_b 6.2897
_cell_length_c 6.2897
_cell_angle_alpha 90.00
_cell_angle_beta 90.00
_cell_angle_gamma 90.00
_space_group_name_H-M_alt 'P a -3'
_space_group_IT_number 205
_space_group_name_Hall '-P 2ac 2ab 3'
loop_
_atom_site_label
_atom_site_type_symbol
_atom_site_fract_x
_atom_site_fract_y
_atom_site_fract_z
Hg1 Hg 0.0000 0.0000 0.0000
Os1 Os 0.1033 0.6033 0.8967
```

Raw total energy: -5.57 eV per atom
Polymorph energy (0 for the lowest one): 4.87 eV/f.u.

3.
Compound: Ce2As2F
Source: Alexandria via LeMat-Bulk
Functional: PBE
Structure: optimized geometry

CIF file:
```
data_Ce2As2F
_chemical_formula_sum 'Ce8 As8 F4'
_cell_length_a 4.2205
_cell_length_b 18.0672
_cell_length_c 6.0125
_cell_angle_alpha 90.00
_cell_angle_beta 90.00
_cell_angle_gamma 90.00
_space_group_name_H-M_alt 'C m c 21'
_space_group_IT_number 36
loop_
_space_group_symop_operation_xyz
'x,y,z'
'-x,-y,z+1/2'
'-x,y,z'
'x,-y,z+1/2'
'x+1/2,y+1/2,z'
'-x+1/2,-y+1/2,z+1/2'
'-x+1/2,y+1/2,z'
'x+1/2,-y+1/2,z+1/2'
loop_
_atom_site_label
_atom_site_type_symbol
_atom_site_fract_x
_atom_site_fract_y
_atom_site_fract_z
Ce1 Ce 0.0000 0.0801 0.0000
Ce2 Ce 0.0000 0.3214 0.9711
As1 As 0.0000 0.3006 0.4726
As2 As 0.0000 0.4910 0.2176
F1 F 0.0000 0.1234 0.3897
```

Formation energy (no corrections): -1918 meV per atom
Raw total energy: -6.53 eV per atom